An optimized crystal structure of LiTl3Pb. Source: Alexandria via LeMat-Bulk, functional PBE.

Cell: 7.3780 7.0290 10.9390 Å, 90.00 90.00 90.00°
Fractional positions:
Li 0.1849 0.2500 0.0729
Li 0.3151 0.7500 0.5729
Li 0.6849 0.2500 0.4271
Li 0.8151 0.7500 0.9271
Tl 0.1390 0.7500 0.0719
Tl 0.1643 0.5134 0.7926
Tl 0.1643 0.9866 0.7926
Tl 0.3357 0.0134 0.2926
Tl 0.3357 0.4866 0.2926
Tl 0.3610 0.2500 0.5719
Tl 0.6390 0.7500 0.4281
Tl 0.6643 0.5134 0.7074
Tl 0.6643 0.9866 0.7074
Tl 0.8357 0.0134 0.2074
Tl 0.8357 0.4866 0.2074
Tl 0.8610 0.2500 0.9281
Pb 0.0000 0.0000 0.5000
Pb 0.0000 0.5000 0.5000
Pb 0.5000 0.0000 0.0000
Pb 0.5000 0.5000 0.0000

Computed properties:
Its volume is 567 Å³/cell. As for the total energy: -2.5672 eV/atom. The energy of formation comes out at -0.02 eV/atom. The value obtained for the theoretical density is 9.7 g/cm3. For the total magnetic moment, the calculation gives 0.000 Bohr magnetons per cell.

***

An optimized crystal structure of LiTmTlPb. Source: Alexandria via LeMat-Bulk, functional PBE.

Cell: 5.2220 5.2220 5.2220 Å, 60.00 60.00 60.00°
Fractional positions:
Li 0.0000 0.0000 0.0000
Tm 0.5000 0.5000 0.5000
Tl 0.2500 0.2500 0.2500
Pb 0.7500 0.7500 0.7500

Computed properties:
Its volume is 101 Å³/cell. As for the total energy: -3.4039 eV/atom. The energy of formation comes out at -0.29 eV/atom. The value obtained for the theoretical density is 9.7 g/cm3. For the total magnetic moment, the calculation gives 0.000 Bohr magnetons per cell.

***

An optimized crystal structure of LiTmTlPb. Source: Alexandria via LeMat-Bulk, functional PBE.

Cell: 4.1725 4.7988 4.9723 Å, 90.00 90.00 90.00°
Fractional positions:
Li 0.0000 0.0000 0.0000
Tm 0.0000 0.5000 0.5000
Tl 0.5000 0.5000 0.0000
Pb 0.5000 0.0000 0.5000

Computed properties:
Its volume is 100 Å³/cell. As for the total energy: -3.4334 eV/atom. The energy of formation comes out at -0.32 eV/atom. The value obtained for the theoretical density is 9.8 g/cm3. For the total magnetic moment, the calculation gives 0.000 Bohr magnetons per cell.

***

An optimized crystal structure of LiYTlPb. Source: Alexandria via LeMat-Bulk, functional PBE.

Cell: 5.2597 5.2597 5.2597 Å, 60.00 60.00 60.00°
Fractional positions:
Li 0.0000 0.0000 0.0000
Y 0.5000 0.5000 0.5000
Tl 0.7500 0.7500 0.7500
Pb 0.2500 0.2500 0.2500

Computed properties:
Its volume is 103 Å³/cell. As for the total energy: -3.9307 eV/atom. The energy of formation comes out at -0.32 eV/atom. The value obtained for the theoretical density is 8.2 g/cm3. For the total magnetic moment, the calculation gives 0.000 Bohr magnetons per cell.